[1]
# KAsIrSe2

KAsIrSe2 after structural relaxation (PBE, the Alexandria database).

## Properties
E_form (uncorrected), eV per formula unit: 10.56
N(E_F), states/eV per cell: 8.43
E, eV per cell: -11.015
Excess energy over the best structure of this formula in the dataset, meV per atom: 2127

Cell: 5.409 5.409 5.283 Å, 90.00 90.00 90.00°
Space group P4/mmm (No. 123)
Asymmetric unit:
K1 0.000 0.000 0.000 x1
As1 0.000 0.000 0.500 x1
Ir1 0.500 0.500 0.500 x1
Se1 0.000 0.500 0.000 x2

***

[2]
# Zr2TaCl

Zr2TaCl after structural relaxation (PBE, the Alexandria database).

## Properties
E_form (uncorrected), eV per formula unit: 1.47
N(E_F), states/eV per cell: 9.60
E, eV per cell: -58.658
Excess energy over the best structure of this formula in the dataset, meV per atom: 782

Cell: 4.486 4.486 8.138 Å, 90.00 90.00 90.00°
Space group I4/mmm (No. 139)
Asymmetric unit:
Zr1 0.000 0.500 0.250 x4
Ta1 0.000 0.000 0.000 x2
Cl1 0.000 0.000 0.500 x2

***

[3]
# Zn8GaAg5

Zn8GaAg5 after structural relaxation (PBE, the Alexandria database).

## Properties
N(E_F), states/eV per cell: 7.13
Formation enthalpy at 0 K, kJ per mole of atoms: 4.31
E, eV per cell: -53.700

Cell: 7.285 7.285 9.057 Å, 90.00 90.00 90.00°
Space group I-4 (No. 82)
Asymmetric unit:
Zn1 0.075 0.328 0.365 x8
Zn2 0.088 0.159 0.759 x8
Ga1 0.000 0.500 0.750 x2
Ag1 0.000 0.000 0.500 x2
Ag2 0.148 0.220 0.058 x8

***

[4]
# FeTcIr4

FeTcIr4 after structural relaxation (PBE, the Alexandria database).

## Properties
N(E_F), states/eV per cell: 11.96
Formation enthalpy at 0 K, kJ per mole of atoms: -7.43
E, eV per cell: -109.469
Excess energy over the best structure of this formula in the dataset, meV per atom: 0

Cell: 3.844 11.447 3.831 Å, 90.00 90.00 90.00°
Space group Cmmm (No. 65)
Asymmetric unit:
Fe1 0.000 0.000 0.000 x2
Tc1 0.000 0.500 0.500 x2
Ir1 0.000 0.159 0.500 x4
Ir2 0.000 0.335 0.000 x4